# 1
# NaAsPdRh PBE-GGA optimized geometry
data_NaAsPdRh
_symmetry_space_group_name_H-M 'P 4/n m m'
_symmetry_Int_Tables_number 129
_cell_length_a 3.9254
_cell_length_b 3.9254
_cell_length_c 10.2080
_cell_angle_alpha 90.00
_cell_angle_beta 90.00
_cell_angle_gamma 90.00
loop_
_symmetry_equiv_pos_as_xyz
'x,y,z'
'-x,-y,-z'
'-y+1/2,x,z'
'y+1/2,-x,-z'
'-x+1/2,-y+1/2,z'
'x+1/2,y+1/2,-z'
'y,-x+1/2,z'
'-y,x+1/2,-z'
'x+1/2,-y,-z'
'-x+1/2,y,z'
'-y,-x,-z'
'y,x,z'
'-x,y+1/2,-z'
'x,-y+1/2,z'
'y+1/2,x+1/2,-z'
'-y+1/2,-x+1/2,z'
loop_
_atom_site_label
_atom_site_type_symbol
_atom_site_fract_x
_atom_site_fract_y
_atom_site_fract_z
_atom_site_occupancy
Na1 Na 0.2500 0.2500 0.2198 1
As1 As 0.2500 0.2500 0.6436 1
Pd1 Pd 0.2500 0.7500 0.0000 1
Rh1 Rh 0.2500 0.7500 0.5000 1
# **Energy of formation**: -272 meV/atom
# **Crystal system**: tetragonal
# **Total moment**: 0.00 μB per cell

=====

# 2
# CsLiMgSe2 PBE-GGA optimized geometry
data_CsLiMgSe2
_symmetry_space_group_name_H-M 'C 1 2/m 1'
_symmetry_Int_Tables_number 12
_symmetry_space_group_name_Hall '-C 2y'
_cell_length_a 14.1050
_cell_length_b 4.3460
_cell_length_c 10.9737
_cell_angle_alpha 90.00
_cell_angle_beta 119.98
_cell_angle_gamma 90.00
loop_
_atom_site_label
_atom_site_type_symbol
_atom_site_fract_x
_atom_site_fract_y
_atom_site_fract_z
_atom_site_occupancy
Cs1 Cs 0.1678 0.0000 0.1328 1
Li1 Li 0.1542 0.5000 0.4371 1
Mg1 Mg 0.0290 0.0000 0.6675 1
Se1 Se 0.0345 0.5000 0.8040 1
Se2 Se 0.1618 0.0000 0.5672 1
# **Crystal system**: monoclinic
# **Formation energy (no corrections)**: -1294 meV per atom
# **Total moment**: 0.00 μB per cell

=====

# 3
# ZrP2Pt2 PBE-GGA optimized geometry
data_ZrP2Pt2
_symmetry_space_group_name_H-M 'P 4/m b m'
_symmetry_Int_Tables_number 127
_symmetry_space_group_name_Hall '-P 4 2ab'
_cell_length_a 7.1291
_cell_length_b 7.1291
_cell_length_c 3.1508
_cell_angle_alpha 90.00
_cell_angle_beta 90.00
_cell_angle_gamma 90.00
loop_
_atom_site_label
_atom_site_type_symbol
_atom_site_fract_x
_atom_site_fract_y
_atom_site_fract_z
_atom_site_occupancy
Zr1 Zr 0.0000 0.0000 0.0000 1
P1 P 0.1600 0.3400 0.0000 1
Pt1 Pt 0.1502 0.6502 0.5000 1
# **Energy of formation**: -499 meV/atom
# **Crystal system**: tetragonal
# **Total moment**: 0.00 μB per cell

=====

# 4
# NaNbF2 PBE-GGA optimized geometry
data_NaNbF2
_symmetry_space_group_name_H-M 'R -3 m'
_symmetry_Int_Tables_number 166
_symmetry_space_group_name_Hall '-R 3 2"'
_cell_length_a 3.0379
_cell_length_b 3.0379
_cell_length_c 20.8415
_cell_angle_alpha 90.00
_cell_angle_beta 90.00
_cell_angle_gamma 120.00
loop_
_atom_site_label
_atom_site_type_symbol
_atom_site_fract_x
_atom_site_fract_y
_atom_site_fract_z
_atom_site_occupancy
Na1 Na 0.0000 0.0000 0.0000 1
Nb1 Nb 0.0000 0.0000 0.5000 1
F1 F 0.0000 0.0000 0.3991 1
# **Crystal system**: trigonal
# **Formation energy (no corrections)**: -1978 meV per atom
# **Total moment**: 0.00 μB per cell

=====

# 5
# NaMn2CdPt PBE-GGA optimized geometry
data_NaMn2CdPt
_symmetry_space_group_name_H-M 'P 4/m m m'
_symmetry_Int_Tables_number 123
_symmetry_space_group_name_Hall '-P 4 2'
_cell_length_a 4.9713
_cell_length_b 4.9713
_cell_length_c 4.9791
_cell_angle_alpha 90.00
_cell_angle_beta 90.00
_cell_angle_gamma 90.00
loop_
_atom_site_label
_atom_site_type_symbol
_atom_site_fract_x
_atom_site_fract_y
_atom_site_fract_z
_atom_site_occupancy
Na1 Na 0.0000 0.0000 0.0000 1
Mn1 Mn 0.0000 0.5000 0.5000 1
Cd1 Cd 0.0000 0.0000 0.5000 1
Pt1 Pt 0.5000 0.5000 0.0000 1
# **Energy of formation**: 1174 meV/atom
# **Crystal system**: tetragonal
# **Total moment**: 8.57 μB per cell

=====

# 6
# InHg2AsPt PBE-GGA optimized geometry
data_InHg2AsPt
_symmetry_space_group_name_H-M 'P 4/m m m'
_symmetry_Int_Tables_number 123
_symmetry_space_group_name_Hall '-P 4 2'
_cell_length_a 5.3388
_cell_length_b 5.3388
_cell_length_c 5.2193
_cell_angle_alpha 90.00
_cell_angle_beta 90.00
_cell_angle_gamma 90.00
loop_
_atom_site_label
_atom_site_type_symbol
_atom_site_fract_x
_atom_site_fract_y
_atom_site_fract_z
_atom_site_occupancy
In1 In 0.0000 0.0000 0.0000 1
Hg1 Hg 0.0000 0.5000 0.0000 1
As1 As 0.0000 0.0000 0.5000 1
Pt1 Pt 0.5000 0.5000 0.5000 1
# **Energy of formation**: 1016 meV/atom
# **Crystal system**: tetragonal
# **Total moment**: 0.00 μB per cell

=====

# 7
# SrVNiAs2 PBE-GGA optimized geometry
data_SrVNiAs2
_symmetry_space_group_name_H-M 'I -4 m 2'
_symmetry_Int_Tables_number 119
_symmetry_space_group_name_Hall 'I -4 -2'
_cell_length_a 3.9938
_cell_length_b 3.9938
_cell_length_c 12.4844
_cell_angle_alpha 90.00
_cell_angle_beta 90.00
_cell_angle_gamma 90.00
loop_
_atom_site_label
_atom_site_type_symbol
_atom_site_fract_x
_atom_site_fract_y
_atom_site_fract_z
_atom_site_occupancy
Sr1 Sr 0.0000 0.0000 0.0000 1
V1 V 0.0000 0.5000 0.2500 1
Ni1 Ni 0.0000 0.5000 0.7500 1
As1 As 0.0000 0.0000 0.3605 1
# **Energy of formation**: -708 meV/atom
# **Crystal system**: tetragonal
# **Total moment**: 2.10 μB per cell

=====

# 8
# Pm4Sm4Tm3 PBE-GGA optimized geometry
data_Pm4Sm4Tm3
_symmetry_space_group_name_H-M 'P -1'
_symmetry_Int_Tables_number 2
_symmetry_space_group_name_Hall '-P 1'
_cell_length_a 3.5296
_cell_length_b 5.4940
_cell_length_c 19.0356
_cell_angle_alpha 81.70
_cell_angle_beta 84.68
_cell_angle_gamma 89.99
loop_
_atom_site_label
_atom_site_type_symbol
_atom_site_fract_x
_atom_site_fract_y
_atom_site_fract_z
_atom_site_occupancy
Pm1 Pm 0.0938 0.0960 0.3083 1
Pm2 Pm 0.2208 0.7227 0.0553 1
Sm1 Sm 0.3187 0.8168 0.8655 1
Sm2 Sm 0.4564 0.4541 0.5916 1
Tm1 Tm 0.0000 0.0000 0.5000 1
Tm2 Tm 0.3664 0.3634 0.7726 1
# **Energy of formation**: 42 meV/atom
# **Crystal system**: triclinic
# **Total moment**: 0.00 μB per cell